Below is crystalline NdSc2Ga2 at its relaxed geometry, with properties calculated at the PBE level.

- DOS at the Fermi energy: 0.820 states/eV/atom
- E: -51.17 eV for the cell shown

Cell lengths 5.0886, 4.2620, 11.0817 Å; angles 90.00, 94.69, 90.00 degrees
With the nearest neighbours (Å) after each atom.
Element x y z (fractional)
Nd (0.1872, 0.2500, 0.2470)  7 Ga 3.26-3.58, 4 Sc 3.40-3.61
Nd (0.8128, 0.7500, 0.7530)  7 Ga 3.26-3.58, 4 Sc 3.40-3.61
Sc (0.2430, 0.7500, 0.4873)  4 Ga 2.75-2.94
Sc (0.3497, 0.2500, 0.8913)  5 Ga 2.66-2.83
Sc (0.6503, 0.7500, 0.1087)  5 Ga 2.66-2.83
Sc (0.7570, 0.2500, 0.5127)  4 Ga 2.75-2.94
Ga (0.1454, 0.7500, 0.0237)  2 Ga 2.62, 4 Sc 2.66-2.83
Ga (0.2785, 0.2500, 0.6441)  5 Sc 2.73-2.94
Ga (0.7215, 0.7500, 0.3559)  5 Sc 2.73-2.94
Ga (0.8546, 0.2500, 0.9763)  2 Ga 2.62, 4 Sc 2.66-2.83

Below is crystalline NpReTc at its relaxed geometry, with properties calculated at the PBE level.

- Distance to the lowest polymorph of the same formula: 108 meV per atom
- DOS at the Fermi energy: 1.757 states/eV/atom

Cell lengths 3.3396, 3.3396, 9.2907 Å; angles 90.00, 90.00, 90.00 degrees
With the nearest neighbours (Å) after each atom.
Element x y z (fractional)
Np (0.2500, 0.2500, 0.2349)  4 Tc 2.67, 4 Re 2.93
Np (0.7500, 0.7500, 0.7651)  4 Tc 2.67, 4 Re 2.93
Re (0.2500, 0.2500, 0.5789)  4 Re 2.78, 4 Np 2.93, 1 Tc 2.97
Re (0.7500, 0.7500, 0.4211)  4 Re 2.78, 4 Np 2.93, 1 Tc 2.97
Tc (0.2500, 0.2500, 0.8989)  4 Np 2.67, 1 Re 2.97
Tc (0.7500, 0.7500, 0.1011)  4 Np 2.67, 1 Re 2.97

Below is crystalline Ac3La8Y at its relaxed geometry, with properties calculated at the PBE level.

- DOS at the Fermi energy: 1.603 states/eV/atom
- E: -55.64 eV for the cell shown

Cell lengths 9.0870, 9.0870, 9.0870 Å; angles 135.47, 98.60, 97.91 degrees
With the nearest neighbours (Å) after each atom.
Element x y z (fractional)
Ac (0.0000, 0.0000, 0.0000)  8 La 3.62-3.66
Ac (0.2577, 0.5000, 0.7577)  10 La 3.91-4.22
Ac (0.7423, 0.5000, 0.2423)  10 La 3.91-4.22
La (0.0821, 0.8270, 0.2551)  6 La 3.53-3.90, 1 Y 3.56, 2 Ac 3.66-3.91
La (0.2747, 0.0529, 0.7782)  1 La 3.05, 1 Y 3.30
La (0.2747, 0.4965, 0.2218)  1 La 3.05, 1 Y 3.30
La (0.4281, 0.1730, 0.2551)  6 La 3.53-3.90, 1 Y 3.56, 2 Ac 3.66-3.91
La (0.5719, 0.8270, 0.7449)  6 La 3.53-3.90, 1 Y 3.56, 2 Ac 3.66-3.91
La (0.7253, 0.5035, 0.7782)  1 La 3.05, 1 Y 3.30
La (0.7253, 0.9471, 0.2218)  1 La 3.05, 1 Y 3.30
La (0.9179, 0.1730, 0.7449)  6 La 3.53-3.90, 1 Y 3.56, 2 Ac 3.66-3.91
Y (0.5000, 0.0000, 0.5000)  8 La 3.30-3.56

Below is crystalline YMn2Co at its relaxed geometry, with properties calculated at the PBE level.

- Distance to the lowest polymorph of the same formula: 211 meV per atom
- DOS at the Fermi energy: 1.113 states/eV/atom

Cell lengths 3.9407, 3.9407, 8.5964 Å; angles 90.00, 90.00, 90.00 degrees
With the nearest neighbours (Å) after each atom.
Element x y z (fractional)
Y (0.0000, 0.0000, 0.0000)  4 Co 2.79, 8 Mn 2.92
Y (0.5000, 0.5000, 0.5000)  4 Co 2.79, 8 Mn 2.92
Mn (0.0000, 0.5000, 0.2500)  4 Mn 2.79, 4 Co 2.92, 4 Y 2.92
Mn (0.0000, 0.5000, 0.7500)  4 Mn 2.79, 4 Co 2.92, 4 Y 2.92
Mn (0.5000, 0.0000, 0.2500)  4 Mn 2.79, 4 Co 2.92, 4 Y 2.92
Mn (0.5000, 0.0000, 0.7500)  4 Mn 2.79, 4 Co 2.92, 4 Y 2.92
Co (0.0000, 0.0000, 0.5000)  4 Y 2.79, 8 Mn 2.92
Co (0.5000, 0.5000, 0.0000)  4 Y 2.79, 8 Mn 2.92

Below is crystalline TiAlPd3 at its relaxed geometry, with properties calculated at the PBE level.

- Distance to the lowest polymorph of the same formula: 886 meV per atom
- DOS at the Fermi energy: 2.126 states/eV/atom

Cell lengths 4.5171, 4.5171, 4.5171 Å; angles 90.00, 90.00, 90.00 degrees
With the nearest neighbours (Å) after each atom.
Element x y z (fractional)
Ti (0.0000, 0.0000, 0.0000)  12 Pd 3.19
Al (0.5000, 0.5000, 0.5000)  6 Pd 2.26
Pd (0.0000, 0.5000, 0.5000)  2 Al 2.26
Pd (0.5000, 0.0000, 0.5000)  2 Al 2.26
Pd (0.5000, 0.5000, 0.0000)  2 Al 2.26